(1)
VASP calculation (GGA-PBE) on an optimized crystal structure of PrZnGe.

Computed properties:
D(E_F), states/eV/cell: 3.58
DFT formation energy, meV per atom: -678

abc: 4.262 4.262 8.576
angles: 90.00 90.00 120.00
Fractional positions:
Ge (0.667, 0.333, 0.250)
Pr (0.000, 0.000, 0.000)
Pr (0.000, 0.000, 0.500)
Zn (0.667, 0.333, 0.750)
Ge (0.333, 0.667, 0.750)
Zn (0.333, 0.667, 0.250)

=====

(2)
VASP calculation (GGA-PBE) on an optimized crystal structure of PrZn2Ge.

Computed properties:
D(E_F), states/eV/cell: 1.66
Excess energy over the best structure of this formula in the dataset, meV/atom: 83.8
DFT formation energy, meV per atom: -270

abc: 4.559 4.146 4.855
angles: 91.07 90.00 90.00
Fractional positions:
Zn (0.000, 0.053, 0.247)
Ge (0.500, 0.000, 0.500)
Pr (0.500, 0.500, 0.000)
Zn (0.000, 0.947, 0.753)

=====

(3)
VASP calculation (GGA-PBE) on an optimized crystal structure of PrZnGe2.

Computed properties:
D(E_F), states/eV/cell: 2.84
DFT formation energy, meV per atom: -479

abc: 4.174 4.174 10.233
angles: 101.77 101.77 90.00
Fractional positions:
Ge (0.500, 0.000, 0.000)
Zn (0.750, 0.250, 0.500)
Ge (0.000, 0.500, 0.000)
Ge (0.333, 0.333, 0.667)
Pr (0.117, 0.117, 0.233)
Pr (0.883, 0.883, 0.767)
Zn (0.250, 0.750, 0.500)
Ge (0.667, 0.667, 0.333)

=====

(4)
VASP calculation (GGA-PBE) on an optimized crystal structure of Pr2Zn5Ge3.

Computed properties:
D(E_F), states/eV/cell: 4.15
DFT formation energy, meV per atom: -327

abc: 4.416 4.416 10.210
angles: 90.00 90.00 90.00
Fractional positions:
Zn (0.500, 0.500, 0.500)
Ge (0.500, 0.000, 0.640)
Zn (0.500, 0.000, 0.880)
Pr (0.000, 0.500, 0.756)
Ge (0.000, 0.500, 0.360)
Zn (0.000, 0.000, 0.000)
Zn (0.500, 0.500, 0.000)
Pr (0.500, 0.000, 0.244)
Ge (0.000, 0.000, 0.500)
Zn (0.000, 0.500, 0.120)